[1]
# CeAsSe2 | Alexandria via LeMat-Bulk | PBE-GGA | relaxed
data_CeAsSe2
_chemical_formula_sum 'Ce1 As1 Se2'
_cell_length_a 3.816
_cell_length_b 3.816
_cell_length_c 9.177
_cell_angle_alpha 78.00
_cell_angle_beta 78.00
_cell_angle_gamma 60.00
_space_group_name_H-M_alt 'P 1'
_space_group_IT_number 1
loop_
_space_group_symop_operation_xyz
'x,y,z'
loop_
_atom_site_label
_atom_site_fract_x
_atom_site_fract_y
_atom_site_fract_z
As1 0.500 0.500 0.500
Se1 0.109 0.109 0.674
Se2 0.891 0.891 0.326
Ce1 0.000 0.000 0.000
# * space-group type: R-3m, No. 166
# * density of states at the Fermi level: 7.113 states/eV per cell
# * energy: -4.593 eV per atom
# * uncorrected formation energy: -0.8 eV/f.u.

[2]
# Ce3As3Se | Alexandria via LeMat-Bulk | PBE-GGA | relaxed
data_Ce3As3Se
_chemical_formula_sum 'Ce3 As3 Se1'
_cell_length_a 5.927
_cell_length_b 5.927
_cell_length_c 5.927
_cell_angle_alpha 103.97
_cell_angle_beta 103.97
_cell_angle_gamma 103.97
_space_group_name_H-M_alt 'P 1'
_space_group_IT_number 1
loop_
_space_group_symop_operation_xyz
'x,y,z'
loop_
_atom_site_label
_atom_site_fract_x
_atom_site_fract_y
_atom_site_fract_z
Ce1 0.536 0.035 0.035
Ce2 0.035 0.035 0.536
Ce3 0.035 0.536 0.035
As1 0.546 0.546 0.067
As2 0.546 0.067 0.546
As3 0.067 0.546 0.546
Se1 0.035 0.035 0.035
# * space-group type: R3m, No. 160
# * density of states at the Fermi level: 12.049 states/eV per cell
# * energy: -6.098 eV per atom
# * uncorrected formation energy: -7.5 eV/f.u.